[1]
Below is a PBEsol-optimized structure of Li2Ge2Ir, with properties calculated at the meta-GGA SCAN level.

abc: 6.428 6.428 3.419
angles: 90.00 90.00 90.00
Space group P4/mbm (No. 127)
Unique sites:
Li1 0.167 0.333 0.000 (multiplicity 4)
Ge1 0.138 0.638 0.500 (multiplicity 4)
Ir1 0.000 0.000 0.500 (multiplicity 2)

Values from the calculation:
Crystal system   tetragonal
Energy of formation from the pure elements   -0.37 eV/atom



[2]
Below is a PBEsol-optimized structure of MgBO3, with properties calculated at the meta-GGA SCAN level.

abc: 3.873 3.873 3.873
angles: 90.00 90.00 90.00
Space group Pm-3m (No. 221)
Unique sites:
Mg1 0.000 0.000 0.000 (multiplicity 1)
B1 0.500 0.500 0.500 (multiplicity 1)
O1 0.000 0.000 0.500 (multiplicity 3)

Values from the calculation:
Crystal system   cubic
E_tot   -5.8749 eV per atom